Hf2NbV9 after structural relaxation, computed with PBE.

Lattice parameters (Å, degrees): 8.456 8.456 8.456 36.23 36.23 36.23
Positions (direct):
Hf: 0.144 0.144 0.144
Hf: 0.856 0.856 0.856
Nb: 0.000 0.000 0.000
V: 0.079 0.582 0.582
V: 0.333 0.333 0.333
V: 0.418 0.418 0.921
V: 0.418 0.921 0.418
V: 0.500 0.500 0.500
V: 0.582 0.079 0.582
V: 0.582 0.582 0.079
V: 0.667 0.667 0.667
V: 0.921 0.418 0.418

Properties
The total magnetization comes out at 0.000 μB/atom. The formation energy comes out at 0.120 eV/atom. The space-group type is No. 166.